No. 1
Entry from OQMD: GaCoIr2 after structural relaxation (PBE-GGA).

a b c (Å): 6.0505 6.0505 6.0505
angles (deg): 90.00 90.00 90.00
Space group F-43m (No. 216)
Unique sites:
Ga  0.0000  0.0000  0.0000 (multiplicity 4)
Co  0.2500  0.2500  0.2500 (multiplicity 4)
Ir  0.0000  0.0000  0.5000 (multiplicity 4)
Ir  0.2500  0.2500  0.7500 (multiplicity 4)

Summary:
The calculation puts the uncorrected energy at -6.8591 eV/atom.

---

No. 2
Entry from OQMD: Li4Ga2CoIr after structural relaxation (PBE-GGA).

a b c (Å): 4.1650 4.1650 5.8988
angles (deg): 90.00 90.00 90.00
Space group P-4m2 (No. 115)
Unique sites:
Li  0.0000  0.0000  0.0000 (multiplicity 1)
Li  0.0000  0.5000  0.7425 (multiplicity 2)
Li  0.5000  0.5000  0.5000 (multiplicity 1)
Ga  0.0000  0.5000  0.2525 (multiplicity 2)
Co  0.0000  0.0000  0.5000 (multiplicity 1)
Ir  0.5000  0.5000  0.0000 (multiplicity 1)

Summary:
The calculation puts the uncorrected energy at -3.9802 eV/atom.

---

No. 3
Entry from OQMD: Li2Nb2Ga2CoIr after structural relaxation (PBE-GGA).

a b c (Å): 4.2789 4.2789 6.0691
angles (deg): 90.00 90.00 90.00
Space group P-4m2 (No. 115)
Unique sites:
Li  0.0000  0.0000  0.0000 (multiplicity 1)
Li  0.5000  0.5000  0.5000 (multiplicity 1)
Nb  0.0000  0.5000  0.2390 (multiplicity 2)
Ga  0.0000  0.5000  0.7584 (multiplicity 2)
Co  0.5000  0.5000  0.0000 (multiplicity 1)
Ir  0.0000  0.0000  0.5000 (multiplicity 1)

Summary:
The calculation puts the uncorrected energy at -6.2006 eV/atom.

---

No. 4
Entry from OQMD: GaCoMoIr after structural relaxation (PBE-GGA).

a b c (Å): 6.0963 6.0963 6.0963
angles (deg): 90.00 90.00 90.00
Space group F-43m (No. 216)
Unique sites:
Ga  0.0000  0.0000  0.0000 (multiplicity 4)
Co  0.2500  0.2500  0.2500 (multiplicity 4)
Mo  0.0000  0.0000  0.5000 (multiplicity 4)
Ir  0.2500  0.2500  0.7500 (multiplicity 4)

Summary:
The calculation puts the uncorrected energy at -7.5234 eV/atom. For the energy above the most stable polymorph in this dataset, the calculation gives 0.000 eV per atom.

---

No. 5
Entry from OQMD: Ga2Co4NiIr after structural relaxation (PBE-GGA).

a b c (Å): 4.0992 4.0992 5.7827
angles (deg): 90.00 90.00 90.00
Space group P-4m2 (No. 115)
Unique sites:
Ga  0.0000  0.5000  0.2366 (multiplicity 2)
Co  0.0000  0.0000  0.0000 (multiplicity 1)
Co  0.0000  0.5000  0.7613 (multiplicity 2)
Co  0.5000  0.5000  0.5000 (multiplicity 1)
Ni  0.5000  0.5000  0.0000 (multiplicity 1)
Ir  0.0000  0.0000  0.5000 (multiplicity 1)

Summary:
The calculation puts the uncorrected energy at -6.2180 eV/atom.

---

No. 6
Entry from OQMD: GaCoIrOs after structural relaxation (PBE-GGA).

a b c (Å): 6.0370 6.0370 6.0370
angles (deg): 90.00 90.00 90.00
Space group F-43m (No. 216)
Unique sites:
Ga  0.0000  0.0000  0.0000 (multiplicity 4)
Co  0.2500  0.2500  0.2500 (multiplicity 4)
Ir  0.0000  0.0000  0.5000 (multiplicity 4)
Os  0.2500  0.2500  0.7500 (multiplicity 4)

Summary:
The calculation puts the uncorrected energy at -7.3580 eV/atom. For the energy above the most stable polymorph in this dataset, the calculation gives 0.000 eV per atom.

---

No. 7
Entry from OQMD: GaCoIrPd after structural relaxation (PBE-GGA).

a b c (Å): 6.0590 6.0590 6.0590
angles (deg): 90.00 90.00 90.00
Space group F-43m (No. 216)
Unique sites:
Ga  0.0000  0.0000  0.0000 (multiplicity 4)
Co  0.2500  0.2500  0.2500 (multiplicity 4)
Ir  0.2500  0.2500  0.7500 (multiplicity 4)
Pd  0.0000  0.0000  0.5000 (multiplicity 4)

Summary:
The calculation puts the uncorrected energy at -6.0787 eV/atom. For the energy above the most stable polymorph in this dataset, the calculation gives 0.000 eV per atom.

---

No. 8
Entry from OQMD: GaCoReIr after structural relaxation (PBE-GGA).

a b c (Å): 6.0349 6.0349 6.0349
angles (deg): 90.00 90.00 90.00
Space group F-43m (No. 216)
Unique sites:
Ga  0.0000  0.0000  0.0000 (multiplicity 4)
Co  0.2500  0.2500  0.2500 (multiplicity 4)
Re  0.2500  0.2500  0.7500 (multiplicity 4)
Ir  0.0000  0.0000  0.5000 (multiplicity 4)

Summary:
The calculation puts the uncorrected energy at -7.7226 eV/atom. For the energy above the most stable polymorph in this dataset, the calculation gives 0.000 eV per atom.